Computed, not measured: a relaxed structure of Ba2Sn2Pb at the GGA-PBE level of DFT.

Cell lengths 10.3344, 10.3344, 3.6314 Å; angles 90.00, 90.00, 90.00 degrees
Element x y z (fractional)
Ba: 0.1291 0.3709 0.0000
Pb: 0.5000 0.5000 0.0000
Sn: 0.1714 0.6714 0.5000
Ba: 0.6291 0.1291 0.0000
Pb: 0.0000 0.0000 0.0000
Ba: 0.3709 0.8709 0.0000
Sn: 0.8286 0.3286 0.5000
Ba: 0.8709 0.6291 0.0000
Sn: 0.3286 0.1714 0.5000
Sn: 0.6714 0.8286 0.5000

Values from the calculation:
Energy of formation   -0.1883 eV/atom
Energy relative to the lowest polymorph listed for this composition   375.9 meV per atom
Space group   P4/mbm (127)

---

Computed, not measured: a relaxed structure of BaSnPb at the GGA-PBE level of DFT.

Cell lengths 3.6095, 3.6095, 9.2209 Å; angles 101.29, 101.29, 90.00 degrees
Element x y z (fractional)
Pb: 0.9407 0.9407 0.8814
Ba: 0.1353 0.1353 0.2707
Sn: 0.7740 0.7740 0.5480

Values from the calculation:
Energy of formation   -0.0236 eV/atom
Space group   I4mm (107)

---

Computed, not measured: a relaxed structure of Ba3Sn4Pb2 at the GGA-PBE level of DFT.

Cell lengths 5.3092, 6.9884, 9.8419 Å; angles 74.86, 74.35, 67.68 degrees
Element x y z (fractional)
Ba: 0.6972 0.2556 0.3501
Sn: 0.2845 0.3826 0.0484
Pb: 0.5668 0.1296 0.7367
Pb: 0.4332 0.8704 0.2633
Sn: 0.7155 0.6174 0.9516
Sn: 0.9855 0.3778 0.6513
Sn: 0.0145 0.6222 0.3487
Ba: 0.3028 0.7444 0.6499
Ba: 0.0000 0.0000 0.0000

Values from the calculation:
Energy of formation   -0.4490 eV/atom
Energy relative to the lowest polymorph listed for this composition   86.7 meV per atom
Space group   C2/m (12)

---

Computed, not measured: a relaxed structure of BaSn4Pb4 at the GGA-PBE level of DFT.

Cell lengths 6.9132, 6.9132, 12.8063 Å; angles 90.00, 90.00, 90.00 degrees
Element x y z (fractional)
Pb: 0.7701 0.5000 0.9233
Pb: 0.0000 0.2701 0.4233
Sn: 0.2216 0.5000 0.2171
Pb: 0.2299 0.5000 0.9233
Sn: 0.7216 0.0000 0.2829
Ba: 0.5000 0.5000 0.5000
Pb: 0.0000 0.7299 0.4233
Pb: 0.5000 0.7701 0.0767
Ba: 0.0000 0.0000 0.0000
Sn: 0.2784 0.0000 0.2829
Sn: 0.5000 0.7784 0.7829
Pb: 0.2701 0.0000 0.5767
Sn: 0.0000 0.2784 0.7171
Sn: 0.0000 0.7216 0.7171
Pb: 0.7299 0.0000 0.5767
Pb: 0.5000 0.2299 0.0767
Sn: 0.5000 0.2216 0.7829
Sn: 0.7784 0.5000 0.2171

Values from the calculation:
Energy of formation   -0.0577 eV/atom
Space group   P4_2/nmc (137)

---

Computed, not measured: a relaxed structure of BaSn4Pb at the GGA-PBE level of DFT.

Cell lengths 6.4411, 6.4411, 6.4411 Å; angles 60.00, 60.00, 60.00 degrees
Element x y z (fractional)
Pb: 0.2500 0.2500 0.2500
Sn: 0.6241 0.1276 0.6241
Sn: 0.1276 0.6241 0.6241
Ba: 0.0000 0.0000 0.0000
Sn: 0.6241 0.6241 0.6241
Sn: 0.6241 0.6241 0.1276

Values from the calculation:
Energy of formation   -0.2532 eV/atom
Space group   F-43m (216)

---

Computed, not measured: a relaxed structure of BaSnPb2 at the GGA-PBE level of DFT.

Cell lengths 5.0898, 5.3323, 10.6081 Å; angles 96.16, 90.00, 90.00 degrees
Element x y z (fractional)
Pb: 0.7500 0.7613 0.5049
Sn: 0.2500 0.8304 0.6939
Pb: 0.2500 0.2387 0.4951
Ba: 0.2500 0.6302 0.2286
Sn: 0.7500 0.1696 0.3061
Ba: 0.7500 0.3698 0.7714
Pb: 0.2500 0.1476 0.9623
Pb: 0.7500 0.8524 0.0377

Values from the calculation:
Energy of formation   -0.3374 eV/atom
Space group   P2_1/m (11)

---

Computed, not measured: a relaxed structure of BaSn2Pb4 at the GGA-PBE level of DFT.

Cell lengths 4.9351, 4.9594, 10.0827 Å; angles 104.24, 90.00, 90.00 degrees
Element x y z (fractional)
Pb: 0.0000 0.6811 0.3621
Pb: 0.5000 0.8223 0.6445
Pb: 0.0000 0.3189 0.6379
Sn: 0.5000 0.5754 0.1508
Pb: 0.5000 0.1777 0.3555
Ba: 0.0000 0.0000 0.0000
Sn: 0.5000 0.4246 0.8492

Values from the calculation:
Energy of formation   -0.2356 eV/atom
Space group   Cmmm (65)

---

Computed, not measured: a relaxed structure of Ba2SnTePb at the GGA-PBE level of DFT.

Cell lengths 6.7125, 5.5282, 6.7125 Å; angles 90.00, 90.00, 90.00 degrees
Element x y z (fractional)
Ba: 0.5000 0.0000 0.0000
Pb: 0.0000 0.0000 0.0000
Ba: 0.0000 0.0000 0.5000
Te: 0.5000 0.5000 0.5000
Sn: 0.0000 0.5000 0.0000

Values from the calculation:
ΔE_f (raw)   -361 meV/atom
Space group   P4/mmm (123)

---

The total magnetization results, record by record, are as follows: 0.00 0.00 0.00 0.00 0.00 0.00 0.00 0.00 Bohr magnetons per cell.